No. 1
Computed, not measured: a relaxed Cs3ZrGe crystal at the PBE level of DFT.

Output
The final energy is -9.36 eV/cell. As for the crystal system: cubic. The energy relative to the elements comes out at 1.27 eV per atom.

Cell lengths 7.052, 7.052, 7.052 Å; angles 90.00, 90.00, 90.00 degrees
Fractional coordinates of all 5 atoms:
Cs: 0.000 0.000 0.500
Cs: 0.000 0.500 0.000
Cs: 0.500 0.000 0.000
Zr: 0.000 0.000 0.000
Ge: 0.500 0.500 0.500

***

No. 2
Computed, not measured: a relaxed CsZrGe3 crystal at the PBE level of DFT.

Output
The final energy is -13.50 eV/cell. As for the crystal system: cubic. The energy above the most stable polymorph in this dataset is 1853 meV per atom. The energy relative to the elements comes out at 1.95 eV per atom.

Cell lengths 5.402, 5.402, 5.402 Å; angles 90.00, 90.00, 90.00 degrees
Fractional coordinates of all 5 atoms:
Cs: 0.000 0.000 0.000
Zr: 0.500 0.500 0.500
Ge: 0.000 0.000 0.500
Ge: 0.000 0.500 0.000
Ge: 0.500 0.000 0.000

***

No. 3
Computed, not measured: a relaxed CsZrGe2 crystal at the PBE level of DFT.

Output
The final energy is -16.26 eV/cell. As for the crystal system: cubic. The energy above the most stable polymorph in this dataset is 409 meV per atom. The energy relative to the elements comes out at 0.59 eV per atom.

Cell lengths 5.264, 5.264, 5.264 Å; angles 60.00, 60.00, 60.00 degrees
Fractional coordinates of all 4 atoms:
Cs: 0.000 0.000 0.000
Zr: 0.500 0.500 0.500
Ge: 0.250 0.250 0.250
Ge: 0.750 0.750 0.750

***

No. 4
Computed, not measured: a relaxed CsZrGe3 crystal at the PBE level of DFT.

Output
The final energy is -22.76 eV/cell. As for the crystal system: cubic. The energy above the most stable polymorph in this dataset is 0 meV per atom. The energy relative to the elements comes out at 0.10 eV per atom.

Cell lengths 5.345, 5.345, 5.345 Å; angles 90.00, 90.00, 90.00 degrees
Fractional coordinates of all 5 atoms:
Cs: 0.000 0.000 0.000
Zr: 0.500 0.500 0.500
Ge: 0.000 0.500 0.500
Ge: 0.500 0.000 0.500
Ge: 0.500 0.500 0.000

***

No. 5
Computed, not measured: a relaxed CsZrGe2 crystal at the PBE level of DFT.

Output
The final energy is -35.79 eV/cell. As for the crystal system: tetragonal. The energy above the most stable polymorph in this dataset is 0 meV per atom. The energy relative to the elements comes out at 0.18 eV per atom.

Cell lengths 9.688, 9.688, 9.688 Å; angles 142.94, 142.94, 53.42 degrees
Fractional coordinates of all 8 atoms:
Cs: 0.375 0.625 0.750
Cs: 0.625 0.375 0.250
Zr: 0.125 0.875 0.250
Zr: 0.875 0.125 0.750
Ge: 0.000 0.000 0.000
Ge: 0.000 0.000 0.500
Ge: 0.000 0.500 0.000
Ge: 0.500 0.000 0.500

***

No. 6
Computed, not measured: a relaxed CsZr3Ge crystal at the PBE level of DFT.

Output
The final energy is -27.18 eV/cell. As for the crystal system: cubic. The energy relative to the elements comes out at 0.79 eV per atom.

Cell lengths 5.287, 5.287, 5.287 Å; angles 90.00, 90.00, 90.00 degrees
Fractional coordinates of all 5 atoms:
Cs: 0.000 0.000 0.000
Zr: 0.000 0.500 0.500
Zr: 0.500 0.000 0.500
Zr: 0.500 0.500 0.000
Ge: 0.500 0.500 0.500

***

No. 7
Computed, not measured: a relaxed CsH2 crystal at the PBE level of DFT.

Output
The final energy is -15.65 eV/cell. As for the crystal system: monoclinic. The energy above the most stable polymorph in this dataset is 23 meV per atom.

Cell lengths 5.977, 5.977, 4.471 Å; angles 111.37, 111.37, 83.42 degrees
Fractional coordinates of all 6 atoms:
Cs: 0.250 0.750 0.000
Cs: 0.750 0.250 0.000
H: 0.160 0.160 0.645
H: 0.218 0.218 0.561
H: 0.354 0.354 0.354
H: 0.819 0.819 0.327

***

No. 8
Computed, not measured: a relaxed Cs3H4 crystal at the PBE level of DFT.

Output
The final energy is -16.04 eV/cell. As for the crystal system: tetragonal.

Cell lengths 11.179, 11.179, 11.179 Å; angles 156.91, 156.91, 32.89 degrees
Fractional coordinates of all 7 atoms:
Cs: 0.000 0.000 0.000
Cs: 0.321 0.321 0.000
Cs: 0.679 0.679 0.000
H: 0.167 0.167 0.000
H: 0.480 0.480 0.000
H: 0.520 0.520 0.000
H: 0.833 0.833 0.000

***

No. 9
Computed, not measured: a relaxed Cs4H crystal at the PBE level of DFT.

Output
The final energy is -6.58 eV/cell. As for the crystal system: cubic.

Cell lengths 7.148, 7.148, 7.148 Å; angles 90.00, 90.00, 90.00 degrees
Fractional coordinates of all 5 atoms:
Cs: 0.000 0.000 0.000
Cs: 0.000 0.500 0.500
Cs: 0.500 0.000 0.500
Cs: 0.500 0.500 0.000
H: 0.500 0.500 0.500

***

No. 10
Computed, not measured: a relaxed CsH2 crystal at the PBE level of DFT.

Output
The final energy is -15.71 eV/cell. As for the crystal system: monoclinic. The energy above the most stable polymorph in this dataset is 13 meV per atom.

Cell lengths 4.571, 4.571, 8.147 Å; angles 106.41, 106.41, 59.77 degrees
Fractional coordinates of all 6 atoms:
Cs: 0.000 0.000 0.000
Cs: 0.167 0.167 0.513
H: 0.420 0.420 0.252
H: 0.519 0.519 0.254
H: 0.585 0.585 0.758
H: 0.755 0.755 0.264

***

No. 11
Computed, not measured: a relaxed CsH2 crystal at the PBE level of DFT.

Output
The final energy is -15.70 eV/cell. As for the crystal system: triclinic. The energy above the most stable polymorph in this dataset is 14 meV per atom.

Cell lengths 4.754, 4.758, 7.863 Å; angles 86.47, 88.50, 60.34 degrees
Fractional coordinates of all 6 atoms:
Cs: 0.000 0.000 0.000
Cs: 0.325 0.390 0.542
H: 0.639 0.709 0.262
H: 0.664 0.680 0.825
H: 0.751 0.525 0.284
H: 0.993 0.072 0.372

***

No. 12
Computed, not measured: a relaxed CsH2 crystal at the PBE level of DFT.

Output
The final energy is -13.00 eV/cell. As for the crystal system: orthorhombic. The energy above the most stable polymorph in this dataset is 465 meV per atom.

Cell lengths 8.567, 8.567, 8.567 Å; angles 156.28, 153.03, 36.22 degrees
Fractional coordinates of all 6 atoms:
Cs: 0.368 0.118 0.250
Cs: 0.632 0.882 0.750
H: 0.004 0.254 0.750
H: 0.228 0.478 0.750
H: 0.772 0.522 0.250
H: 0.996 0.746 0.250

***

No. 13
Computed, not measured: a relaxed CsH2 crystal at the PBE level of DFT.

Output
The final energy is -15.79 eV/cell. As for the crystal system: monoclinic. The energy above the most stable polymorph in this dataset is 0 meV per atom.

Cell lengths 5.031, 5.031, 6.282 Å; angles 93.40, 93.40, 68.98 degrees
Fractional coordinates of all 6 atoms:
Cs: 0.000 0.000 0.000
Cs: 0.656 0.656 0.491
H: 0.024 0.024 0.499
H: 0.293 0.293 0.711
H: 0.369 0.369 0.788
H: 0.632 0.632 0.992

***

No. 14
Computed, not measured: a relaxed CsH2 crystal at the PBE level of DFT.

Output
The final energy is -15.65 eV/cell. As for the crystal system: monoclinic. The energy above the most stable polymorph in this dataset is 24 meV per atom.

Cell lengths 4.461, 3.972, 7.800 Å; angles 90.00, 90.25, 90.00 degrees
Fractional coordinates of all 6 atoms:
Cs: 0.000 0.000 0.000
Cs: 0.491 0.000 0.511
H: 0.000 0.500 0.679
H: 0.495 0.500 0.153
H: 0.836 0.500 0.287
H: 0.979 0.500 0.345

***

No. 15
Computed, not measured: a relaxed Cs4H5 crystal at the PBE level of DFT.

Output
The final energy is -38.67 eV/cell. As for the crystal system: hexagonal.

Cell lengths 8.635, 8.635, 8.236 Å; angles 90.00, 90.00, 120.00 degrees
Fractional coordinates of all 18 atoms:
Cs: 0.000 0.000 0.000
Cs: 0.000 0.000 0.500
Cs: 0.000 0.423 0.250
Cs: 0.000 0.577 0.750
Cs: 0.423 0.000 0.250
Cs: 0.423 0.423 0.750
Cs: 0.577 0.000 0.750
Cs: 0.577 0.577 0.250
H: 0.000 0.241 0.750
H: 0.000 0.759 0.250
H: 0.241 0.000 0.750
H: 0.241 0.241 0.250
H: 0.333 0.667 0.000
H: 0.333 0.667 0.500
H: 0.667 0.333 0.000
H: 0.667 0.333 0.500
H: 0.759 0.000 0.250
H: 0.759 0.759 0.750

***

No. 16
Computed, not measured: a relaxed CsHf3H crystal at the PBE level of DFT.

Output
The final energy is -29.56 eV/cell. As for the crystal system: cubic.

Cell lengths 4.680, 4.680, 4.680 Å; angles 90.00, 90.00, 90.00 degrees
Fractional coordinates of all 5 atoms:
Cs: 0.000 0.000 0.000
Hf: 0.000 0.500 0.500
Hf: 0.500 0.000 0.500
Hf: 0.500 0.500 0.000
H: 0.500 0.500 0.500

***

No. 17
Computed, not measured: a relaxed CsHfH3 crystal at the PBE level of DFT.

Output
The final energy is -20.77 eV/cell. As for the crystal system: trigonal. The energy above the most stable polymorph in this dataset is 105 meV per atom.

Cell lengths 7.540, 7.540, 7.540 Å; angles 26.14, 26.14, 26.14 degrees
Fractional coordinates of all 5 atoms:
Cs: 0.000 0.000 0.000
Hf: 0.833 0.833 0.833
H: 0.131 0.131 0.131
H: 0.220 0.220 0.220
H: 0.747 0.747 0.747

***

No. 18
Computed, not measured: a relaxed CsHfH3 crystal at the PBE level of DFT.

Output
The final energy is -20.92 eV/cell. As for the crystal system: tetragonal. The energy above the most stable polymorph in this dataset is 77 meV per atom.

Cell lengths 3.410, 3.410, 7.093 Å; angles 90.00, 90.00, 90.00 degrees
Fractional coordinates of all 5 atoms:
Cs: 0.000 0.000 0.000
Hf: 0.500 0.500 0.505
H: 0.000 0.500 0.355
H: 0.500 0.000 0.355
H: 0.500 0.500 0.775

***

No. 19
Computed, not measured: a relaxed CsHfH3 crystal at the PBE level of DFT.

Output
The final energy is -20.68 eV/cell. As for the crystal system: triclinic. The energy above the most stable polymorph in this dataset is 124 meV per atom.

Cell lengths 3.229, 3.275, 7.298 Å; angles 90.00, 90.24, 90.50 degrees
Fractional coordinates of all 5 atoms:
Cs: 0.000 0.000 0.000
Hf: 0.495 0.500 0.506
H: 0.498 0.500 0.770
H: 0.993 0.500 0.334
H: 0.995 0.000 0.555

***

No. 20
Computed, not measured: a relaxed CsHfH3 crystal at the PBE level of DFT.

Output
The final energy is -20.85 eV/cell. As for the crystal system: monoclinic. The energy above the most stable polymorph in this dataset is 91 meV per atom.

Cell lengths 3.399, 3.399, 7.469 Å; angles 102.87, 102.87, 60.31 degrees
Fractional coordinates of all 5 atoms:
Cs: 0.000 0.000 0.000
Hf: 0.498 0.498 0.487
H: 0.157 0.157 0.466
H: 0.777 0.777 0.329
H: 0.873 0.873 0.615